Entry from Alexandria: a geometry-optimized ThMnH structure (GGA-PBE).

Cell: 3.319 15.712 3.468 Å, 90.00 90.00 90.00°
Space group Cmcm (No. 63)
Asymmetric unit:
1 Th 0.000 0.098 0.250
2 Mn 0.000 0.246 0.750
3 H 0.000 0.452 0.250

Summary:
E: -77.86 eV/cell